Run a
Density functional theory data (PBE) for crystalline Ba2PbO at its relaxed geometry.

a b c (Å): 3.9103 3.9103 10.3948
angles (deg): 79.16 79.16 60.00
With the nearest neighbours (Å) after each atom.
Positions (direct):
1 Pb 0.0000 0.0000 0.0000  2 Ba 3.53, 6 Pb 3.91
2 Ba 0.1159 0.1159 0.6524  3 O 2.74
3 Ba 0.8841 0.8841 0.3476  3 O 2.74
4 O 0.5000 0.5000 0.5000  6 Ba 2.74

=====

Run b
Density functional theory data (PBE) for crystalline Ba2PbO at its relaxed geometry.

a b c (Å): 7.8895 7.8895 7.3310
angles (deg): 57.45 57.45 90.00
With the nearest neighbours (Å) after each atom.
Positions (direct):
1 Pb 0.0000 0.0000 0.0000  4 Ba 3.66
2 Pb 0.7500 0.2500 0.5000  4 Ba 3.66
3 Ba 0.5140 0.1250 0.2500  2 O 2.55
4 Ba 0.2360 0.6250 0.2500  2 O 2.55
5 Ba 0.3750 0.4860 0.7500  2 O 2.55
6 Ba 0.8750 0.7640 0.7500  2 O 2.55
7 O 0.5000 0.5000 0.0000  4 Ba 2.55
8 O 0.2500 0.7500 0.5000  4 Ba 2.55

=====

Pick run b: it beats the second-best structure by 0.259 eV/atom.

=====

Run a
Density functional theory data (PBE) for crystalline Ba3PdO at its relaxed geometry.

a b c (Å): 5.4373 5.4373 5.4373
angles (deg): 90.00 90.00 90.00
With the nearest neighbours (Å) after each atom.
Positions (direct):
1 O 0.0000 0.0000 0.0000  6 Ba 2.72
2 Ba 0.0000 0.5000 0.0000  2 O 2.72
3 Ba 0.0000 0.0000 0.5000  2 O 2.72
4 Ba 0.5000 0.0000 0.0000  2 O 2.72
5 Pd 0.5000 0.5000 0.5000  12 Ba 3.84

=====

Run b
Density functional theory data (PBE) for crystalline Ba3PdO at its relaxed geometry.

a b c (Å): 8.1344 9.9305 9.9305
angles (deg): 82.32 77.63 77.63
With the nearest neighbours (Å) after each atom.
Positions (direct):
1 Ba 0.6410 0.7720 0.9845  1 O 2.55
2 Ba 0.8590 0.0155 0.2280  1 O 2.55
3 Ba 0.3590 0.2280 0.0155  1 O 2.55
4 Ba 0.1410 0.9845 0.7720  1 O 2.55
5 Ba 0.8788 0.3728 0.8792  1 O 2.49
6 Ba 0.6212 0.1208 0.6272  1 O 2.49
7 Ba 0.1212 0.6272 0.1208  1 O 2.49
8 Ba 0.3788 0.8792 0.3728  1 O 2.49
9 Ba 0.4746 0.6008 0.6824  2 O 2.60
10 Ba 0.0254 0.3176 0.3992  2 O 2.60
11 Ba 0.5254 0.3992 0.3176  2 O 2.60
12 Ba 0.9746 0.6824 0.6008  2 O 2.60
13 Pd 0.2500 0.9232 0.0768  6 Ba 3.21-3.28
14 Pd 0.7500 0.0768 0.9232  6 Ba 3.21-3.28
15 Pd 0.2500 0.3336 0.6664  4 Ba 3.27-3.57
16 Pd 0.7500 0.6664 0.3336  4 Ba 3.27-3.57
17 O 0.7337 0.6063 0.7946  4 Ba 2.49-2.60
18 O 0.7663 0.2054 0.3937  4 Ba 2.49-2.60
19 O 0.2663 0.3937 0.2054  4 Ba 2.49-2.60
20 O 0.2337 0.7946 0.6063  4 Ba 2.49-2.60

=====

Pick run b: it beats the second-best structure by 0.102 eV/atom.

=====

Run a
Density functional theory data (PBE) for crystalline BaPd3O at its relaxed geometry.

a b c (Å): 5.3848 5.3848 5.3848
angles (deg): 90.00 90.00 90.00
With the nearest neighbours (Å) after each atom.
Positions (direct):
1 O 0.5000 0.5000 0.5000  12 Pd 3.81
2 Ba 0.0000 0.0000 0.0000  6 Pd 2.69
3 Pd 0.0000 0.5000 0.0000  2 Ba 2.69
4 Pd 0.0000 0.0000 0.5000  2 Ba 2.69
5 Pd 0.5000 0.0000 0.0000  2 Ba 2.69

=====

Run b
Density functional theory data (PBE) for crystalline BaPd3O at its relaxed geometry.

a b c (Å): 4.5426 4.5426 4.5426
angles (deg): 90.00 90.00 90.00
With the nearest neighbours (Å) after each atom.
Positions (direct):
1 O 0.0000 0.0000 0.0000  6 Pd 2.27
2 Ba 0.5000 0.5000 0.5000  12 Pd 3.21
3 Pd 0.0000 0.5000 0.0000  2 O 2.27
4 Pd 0.0000 0.0000 0.5000  2 O 2.27
5 Pd 0.5000 0.0000 0.0000  2 O 2.27

=====

Pick run b: it beats the second-best structure by 1.759 eV/atom.

=====

Run a
Density functional theory data (PBE) for crystalline Ba2PdO3 at its relaxed geometry.

a b c (Å): 5.6601 6.6186 13.0753
angles (deg): 87.62 84.43 64.69
With the nearest neighbours (Å) after each atom.
Positions (direct):
1 Ba 0.5748 0.4048 0.3526  6 O 2.67-2.88
2 Ba 0.0204 0.4048 0.1474  6 O 2.67-2.88
3 Ba 0.4252 0.5952 0.6474  6 O 2.67-2.88
4 Ba 0.9796 0.5952 0.8526  6 O 2.67-2.88
5 Ba 0.3246 0.7975 0.0719  7 O 2.71-2.96
6 Ba 0.8779 0.7975 0.4281  7 O 2.71-2.96
7 Ba 0.6754 0.2025 0.9281  7 O 2.71-2.96
8 Ba 0.1221 0.2025 0.5719  7 O 2.71-2.96
9 Pd 0.6580 0.0229 0.1715  4 O 2.07-2.23
10 Pd 0.3191 0.0229 0.3285  4 O 2.07-2.23
11 Pd 0.3420 0.9771 0.8285  4 O 2.07-2.23
12 Pd 0.6809 0.9771 0.6715  4 O 2.07-2.23
13 O 0.6209 0.7581 0.2500  2 Pd 2.07
14 O 0.3791 0.2419 0.7500  2 Pd 2.07
15 O 0.5477 0.3545 0.1246  1 Pd 2.09
16 O 0.0979 0.3545 0.3754  1 Pd 2.09
17 O 0.4523 0.6455 0.8754  1 Pd 2.09
18 O 0.9021 0.6455 0.6246  1 Pd 2.09
19 O 0.6511 0.1910 0.5324  1 Pd 2.23
20 O 0.1580 0.1910 0.9676  1 Pd 2.23
21 O 0.3489 0.8090 0.4676  1 Pd 2.23
22 O 0.8420 0.8090 0.0324  1 Pd 2.23
23 O 0.9781 0.0439 0.2500  2 Pd 2.22
24 O 0.0219 0.9561 0.7500  2 Pd 2.22

=====

Run b
Density functional theory data (PBE) for crystalline Ba2PdO3 at its relaxed geometry.

a b c (Å): 7.3133 7.3133 7.3133
angles (deg): 149.06 146.96 45.90
With the nearest neighbours (Å) after each atom.
Positions (direct):
1 Ba 0.6452 0.6452 0.0000  7 O 2.69-2.85
2 Ba 0.3548 0.3548 0.0000  7 O 2.69-2.85
3 Pd 0.0000 0.0000 0.0000  4 O 2.08-2.09
4 O 0.8450 0.8450 0.0000  1 Pd 2.09
5 O 0.1550 0.1550 0.0000  1 Pd 2.09
6 O 0.5000 0.0000 0.5000  2 Pd 2.08

=====

Pick run b: it beats the second-best structure by 0.173 eV/atom.

=====

Run a
Density functional theory data (PBE) for crystalline BaPr2PdO5 at its relaxed geometry.

a b c (Å): 6.8630 6.8630 5.9958
angles (deg): 90.00 90.00 90.00
With the nearest neighbours (Å) after each atom.
Positions (direct):
1 Ba 0.5000 0.5000 0.0000  10 O 3.00-3.04
2 Ba 0.0000 0.0000 0.0000  10 O 3.00-3.04
3 Pr 0.6737 0.1737 0.5000  4 O 2.35-2.54
4 Pr 0.1737 0.3263 0.5000  4 O 2.35-2.54
5 Pr 0.8263 0.6737 0.5000  4 O 2.35-2.54
6 Pr 0.3263 0.8263 0.5000  4 O 2.35-2.54
7 Pd 0.0000 0.5000 0.0000  4 O 2.03
8 Pd 0.5000 0.0000 0.0000  4 O 2.03
9 O 0.5000 0.5000 0.5000  4 Pr 2.54
10 O 0.0000 0.0000 0.5000  4 Pr 2.54
11 O 0.1404 0.6404 0.2502  1 Pd 2.03
12 O 0.8596 0.3596 0.2502  1 Pd 2.03
13 O 0.3596 0.1404 0.2502  1 Pd 2.03
14 O 0.6404 0.8596 0.2502  1 Pd 2.03
15 O 0.1404 0.6404 0.7498  1 Pd 2.03
16 O 0.6404 0.8596 0.7498  1 Pd 2.03
17 O 0.8596 0.3596 0.7498  1 Pd 2.03
18 O 0.3596 0.1404 0.7498  1 Pd 2.03

=====

Run b
Density functional theory data (PBE) for crystalline BaPr2PdO5 at its relaxed geometry.

a b c (Å): 6.8425 6.8425 7.8727
angles (deg): 115.76 115.76 90.00
With the nearest neighbours (Å) after each atom.
Positions (direct):
1 Ba 0.2500 0.2500 0.5000  10 O 3.09-3.11, 4 Pd 3.42
2 Ba 0.7500 0.7500 0.5000  10 O 3.09-3.11, 4 Pd 3.42
3 Pr 0.1722 0.3278 0.0000  8 O 2.35-2.62
4 Pr 0.6722 0.1722 0.0000  8 O 2.35-2.62
5 Pr 0.3278 0.8278 0.0000  8 O 2.35-2.62
6 Pr 0.8278 0.6722 0.0000  8 O 2.35-2.62
7 Pd 0.2500 0.7500 0.5000  4 O 2.11
8 Pd 0.7500 0.2500 0.5000  4 O 2.11
9 O 0.9798 0.4798 0.2409  1 Pd 2.11, 1 Pr 2.35
10 O 0.7389 0.2389 0.7591  1 Pd 2.11, 1 Pr 2.35
11 O 0.0202 0.5202 0.7591  1 Pd 2.11, 1 Pr 2.35
12 O 0.2389 0.0202 0.7591  1 Pd 2.11, 1 Pr 2.35
13 O 0.5202 0.7389 0.7591  1 Pd 2.11, 1 Pr 2.35
14 O 0.7611 0.9798 0.2409  1 Pd 2.11, 1 Pr 2.35
15 O 0.4798 0.2611 0.2409  1 Pd 2.11, 1 Pr 2.35
16 O 0.2611 0.7611 0.2409  1 Pd 2.11, 1 Pr 2.35
17 O 0.5000 0.5000 0.0000  4 Pr 2.53
18 O 0.0000 0.0000 0.0000  4 Pr 2.53

=====

Pick run a: it beats the second-best structure by 0.199 eV/atom.

=====

Run a
Density functional theory data (PBE) for crystalline BaSm2PdO5 at its relaxed geometry.

a b c (Å): 6.7257 6.7257 5.9627
angles (deg): 90.00 90.00 90.00
With the nearest neighbours (Å) after each atom.
Positions (direct):
1 Ba 0.5000 0.5000 0.0000  10 O 2.98-3.01
2 Ba 0.0000 0.0000 0.0000  10 O 2.98-3.01
3 Sm 0.6737 0.1737 0.5000  4 O 2.29-2.49
4 Sm 0.1737 0.3263 0.5000  4 O 2.29-2.49
5 Sm 0.8263 0.6737 0.5000  4 O 2.29-2.49
6 Sm 0.3263 0.8263 0.5000  4 O 2.29-2.49
7 Pd 0.0000 0.5000 0.0000  4 O 2.02
8 Pd 0.5000 0.0000 0.0000  4 O 2.02
9 O 0.5000 0.5000 0.5000  4 Sm 2.49
10 O 0.0000 0.0000 0.5000  4 Sm 2.49
11 O 0.1405 0.6405 0.2551  1 Pd 2.02
12 O 0.8595 0.3595 0.2551  1 Pd 2.02
13 O 0.3595 0.1405 0.2551  1 Pd 2.02
14 O 0.6405 0.8595 0.2551  1 Pd 2.02
15 O 0.1405 0.6405 0.7449  1 Pd 2.02
16 O 0.6405 0.8595 0.7449  1 Pd 2.02
17 O 0.8595 0.3595 0.7449  1 Pd 2.02
18 O 0.3595 0.1405 0.7449  1 Pd 2.02

=====

Run b
Density functional theory data (PBE) for crystalline BaSm2PdO5 at its relaxed geometry.

a b c (Å): 6.7055 6.7055 7.7808
angles (deg): 115.52 115.52 90.00
With the nearest neighbours (Å) after each atom.
Positions (direct):
1 Ba 0.2500 0.2500 0.5000  10 O 3.06-3.08, 4 Pd 3.35
2 Ba 0.7500 0.7500 0.5000  10 O 3.06-3.08, 4 Pd 3.35
3 Sm 0.1721 0.3279 0.0000  8 O 2.30-2.56
4 Sm 0.6721 0.1721 0.0000  8 O 2.30-2.56
5 Sm 0.3279 0.8279 0.0000  8 O 2.30-2.56
6 Sm 0.8279 0.6721 0.0000  8 O 2.30-2.56
7 Pd 0.2500 0.7500 0.5000  4 O 2.10
8 Pd 0.7500 0.2500 0.5000  4 O 2.10
9 O 0.9774 0.4774 0.2363  1 Pd 2.10, 1 Sm 2.30
10 O 0.7411 0.2411 0.7637  1 Pd 2.10, 1 Sm 2.30
11 O 0.0226 0.5226 0.7637  1 Pd 2.10, 1 Sm 2.30
12 O 0.2411 0.0226 0.7637  1 Pd 2.10, 1 Sm 2.30
13 O 0.5226 0.7411 0.7637  1 Pd 2.10, 1 Sm 2.30
14 O 0.7589 0.9774 0.2363  1 Pd 2.10, 1 Sm 2.30
15 O 0.4774 0.2589 0.2363  1 Pd 2.10, 1 Sm 2.30
16 O 0.2589 0.7589 0.2363  1 Pd 2.10, 1 Sm 2.30
17 O 0.5000 0.5000 0.0000  4 Sm 2.48
18 O 0.0000 0.0000 0.0000  4 Sm 2.48

=====

Pick run a: it beats the second-best structure by 0.195 eV/atom.

=====

Run a
Density functional theory data (PBE) for crystalline BaTb2PdO5 at its relaxed geometry.

a b c (Å): 6.6100 6.6100 5.9320
angles (deg): 90.00 90.00 90.00
With the nearest neighbours (Å) after each atom.
Positions (direct):
1 Ba 0.5000 0.5000 0.0000  10 O 2.97-2.98, 4 Pd 3.31
2 Ba 0.0000 0.0000 0.0000  10 O 2.97-2.98, 4 Pd 3.31
3 Tb 0.6740 0.1740 0.5000  4 O 2.25-2.44
4 Tb 0.1740 0.3260 0.5000  4 O 2.25-2.44
5 Tb 0.8260 0.6740 0.5000  4 O 2.25-2.44
6 Tb 0.3260 0.8260 0.5000  4 O 2.25-2.44
7 Pd 0.0000 0.5000 0.0000  4 O 2.02
8 Pd 0.5000 0.0000 0.0000  4 O 2.02
9 O 0.5000 0.5000 0.5000  4 Tb 2.44
10 O 0.0000 0.0000 0.5000  4 Tb 2.44
11 O 0.1406 0.6406 0.2592  1 Pd 2.02, 1 Tb 2.25
12 O 0.8594 0.3594 0.2592  1 Pd 2.02, 1 Tb 2.25
13 O 0.3594 0.1406 0.2592  1 Pd 2.02, 1 Tb 2.25
14 O 0.6406 0.8594 0.2592  1 Pd 2.02, 1 Tb 2.25
15 O 0.1406 0.6406 0.7408  1 Pd 2.02, 1 Tb 2.25
16 O 0.6406 0.8594 0.7408  1 Pd 2.02, 1 Tb 2.25
17 O 0.8594 0.3594 0.7408  1 Pd 2.02, 1 Tb 2.25
18 O 0.3594 0.1406 0.7408  1 Pd 2.02, 1 Tb 2.25

=====

Run b
Density functional theory data (PBE) for crystalline BaTb2PdO5 at its relaxed geometry.

a b c (Å): 6.5889 6.5889 7.7012
angles (deg): 115.33 115.33 90.00
With the nearest neighbours (Å) after each atom.
Positions (direct):
1 Ba 0.2500 0.2500 0.5000  10 O 3.03-3.07, 4 Pd 3.29
2 Ba 0.7500 0.7500 0.5000  10 O 3.03-3.07, 4 Pd 3.29
3 Tb 0.1723 0.3277 0.0000  8 O 2.25-2.52
4 Tb 0.6723 0.1723 0.0000  8 O 2.25-2.52
5 Tb 0.3277 0.8277 0.0000  8 O 2.25-2.52
6 Tb 0.8277 0.6723 0.0000  8 O 2.25-2.52
7 Pd 0.2500 0.7500 0.5000  4 O 2.10
8 Pd 0.7500 0.2500 0.5000  4 O 2.10
9 O 0.9753 0.4753 0.2324  1 Pd 2.10, 1 Tb 2.25
10 O 0.7429 0.2429 0.7676  1 Pd 2.10, 1 Tb 2.25
11 O 0.0247 0.5247 0.7676  1 Pd 2.10, 1 Tb 2.25
12 O 0.2429 0.0247 0.7676  1 Pd 2.10, 1 Tb 2.25
13 O 0.5247 0.7429 0.7676  1 Pd 2.10, 1 Tb 2.25
14 O 0.7571 0.9753 0.2324  1 Pd 2.10, 1 Tb 2.25
15 O 0.4753 0.2571 0.2324  1 Pd 2.10, 1 Tb 2.25
16 O 0.2571 0.7571 0.2324  1 Pd 2.10, 1 Tb 2.25
17 O 0.5000 0.5000 0.0000  4 Tb 2.44
18 O 0.0000 0.0000 0.0000  4 Tb 2.44

=====

Pick run a: it beats the second-best structure by 0.191 eV/atom.

=====

Run a
Density functional theory data (PBE) for crystalline BaPmO2 at its relaxed geometry.

a b c (Å): 3.8159 6.4716 12.5676
angles (deg): 90.00 90.00 90.00
With the nearest neighbours (Å) after each atom.
Positions (direct):
1 Ba 0.7500 0.0797 0.1370  7 O 2.82-2.94
2 Ba 0.2500 0.9203 0.8630  7 O 2.82-2.94
3 Ba 0.7500 0.5797 0.3630  7 O 2.82-2.94
4 Ba 0.2500 0.4203 0.6370  7 O 2.82-2.94
5 Pm 0.2500 0.5747 0.1145  5 O 2.35-2.52
6 Pm 0.2500 0.0747 0.3855  5 O 2.35-2.52
7 Pm 0.7500 0.4253 0.8855  5 O 2.35-2.52
8 Pm 0.7500 0.9253 0.6145  5 O 2.35-2.52
9 O 0.7500 0.2184 0.4935  3 Pm 2.43-2.52
10 O 0.2500 0.7816 0.5065  3 Pm 2.43-2.52
11 O 0.7500 0.7184 0.0065  3 Pm 2.43-2.52
12 O 0.2500 0.2816 0.9935  3 Pm 2.43-2.52
13 O 0.7500 0.1629 0.7555  2 Pm 2.35-2.36
14 O 0.2500 0.3371 0.2555  2 Pm 2.35-2.36
15 O 0.7500 0.6629 0.7445  2 Pm 2.35-2.36
16 O 0.2500 0.8371 0.2445  2 Pm 2.35-2.36

=====

Run b
Density functional theory data (PBE) for crystalline BaPmO2 at its relaxed geometry.

a b c (Å): 3.6640 3.6640 6.6672
angles (deg): 74.05 74.05 60.00
With the nearest neighbours (Å) after each atom.
Positions (direct):
1 Ba 0.5000 0.5000 0.5000  6 O 2.87
2 O 0.7311 0.7311 0.8067  3 Pm 2.44
3 O 0.2689 0.2689 0.1933  3 Pm 2.44
4 Pm 0.0000 0.0000 0.0000  6 O 2.44

=====

Pick run b: it beats the second-best structure by 0.091 eV/atom.

=====

Run a
Density functional theory data (PBE) for crystalline BaPrO at its relaxed geometry.

a b c (Å): 3.9250 3.9250 6.7258
angles (deg): 90.00 90.00 120.00
With the nearest neighbours (Å) after each atom.
Positions (direct):
1 Pr 0.6667 0.3333 0.4761  3 O 2.43
2 Ba 0.0000 0.0000 0.9168  3 O 3.08
3 O 0.3333 0.6667 0.6071  3 Pr 2.43

=====

Run b
Density functional theory data (PBE) for crystalline BaPrO at its relaxed geometry.

a b c (Å): 3.5572 4.3069 14.3473
angles (deg): 90.00 90.00 114.39
With the nearest neighbours (Å) after each atom.
Positions (direct):
1 O 0.5715 0.1430 0.0000  4 Ba 2.55
2 O 0.3126 0.6251 0.5000  4 Pr 2.45
3 Pr 0.8112 0.6224 0.3827  2 O 2.45
4 Pr 0.8112 0.6224 0.6173  2 O 2.45
5 Ba 0.0801 0.1601 0.8722  2 O 2.55
6 Ba 0.0801 0.1601 0.1278  2 O 2.55

=====

Pick run a: it beats the second-best structure by 0.185 eV/atom.

=====

Run a
Density functional theory data (PBE) for crystalline BaSrPrTiO6 at its relaxed geometry.

a b c (Å): 6.0284 6.0560 8.5142
angles (deg): 90.66 90.86 89.81
With the nearest neighbours (Å) after each atom.
Positions (direct):
1 Ba 0.5058 0.5232 0.2499  7 O 2.70-3.02
2 Ba 0.4942 0.4768 0.7501  7 O 2.70-3.02
3 Sr 0.9858 0.0358 0.2540  6 O 2.60-2.84
4 Sr 0.0142 0.9642 0.7460  6 O 2.60-2.84
5 Pr 0.0000 0.5000 0.0000  6 O 2.37
6 Pr 0.5000 0.0000 0.5000  6 O 2.35-2.38
7 Ti 0.5000 0.0000 0.0000  6 O 1.98-2.00
8 Ti 0.0000 0.5000 0.5000  6 O 1.98-2.01
9 O 0.2471 0.2025 0.9509  1 Ti 2.00
10 O 0.2573 0.7004 0.5302  1 Ti 1.98
11 O 0.7529 0.7975 0.0491  1 Ti 2.00
12 O 0.7427 0.2996 0.4698  1 Ti 1.98
13 O 0.2953 0.7494 0.9606  1 Ti 1.98
14 O 0.1906 0.2355 0.5471  1 Ti 2.01
15 O 0.7047 0.2506 0.0394  1 Ti 1.98
16 O 0.8094 0.7645 0.4529  1 Ti 2.01
17 O 0.4130 0.9989 0.2262  1 Ti 2.00
18 O 0.0639 0.4602 0.2732  1 Ti 1.99
19 O 0.5870 0.0011 0.7738  1 Ti 2.00
20 O 0.9361 0.5398 0.7268  1 Ti 1.99

=====

Run b
Density functional theory data (PBE) for crystalline BaSrPrTiO6 at its relaxed geometry.

a b c (Å): 6.0792 6.0792 6.0792
angles (deg): 60.00 60.00 60.00
With the nearest neighbours (Å) after each atom.
Positions (direct):
1 Ba 0.7500 0.7500 0.7500  12 O 3.04
2 Sr 0.2500 0.2500 0.2500  12 O 3.04
3 Pr 0.0000 0.0000 0.0000  6 O 2.33
4 Ti 0.5000 0.5000 0.5000  6 O 1.97
5 O 0.2709 0.7291 0.2709  1 Ti 1.97
6 O 0.7291 0.2709 0.7291  1 Ti 1.97
7 O 0.2709 0.7291 0.7291  1 Ti 1.97
8 O 0.7291 0.2709 0.2709  1 Ti 1.97
9 O 0.2709 0.2709 0.7291  1 Ti 1.97
10 O 0.7291 0.7291 0.2709  1 Ti 1.97

=====

Pick run a: it beats the second-best structure by 0.037 eV/atom.